Material: Sm2Zn7Au12
Method: DFT, PBE
State: optimized geometry

For the formation energy, the calculation gives -0.354 eV/atom.

a = 10.3506 Å, b = 10.3506 Å, c = 4.2737 Å
α = 90.00°, β = 90.00°, γ = 120.00°
Closest atoms and distances in Å follow each position.
Space group P-6 (No. 174)
One atom of each set of equivalent atoms:
1 Sm 0.0000 0.0000 0.0000 [1 per cell]  12 Au 3.28-3.62, 6 Zn 3.52
2 Sm 0.3333 0.6667 0.5000 [1 per cell]  6 Au 3.20, 6 Zn 3.48
3 Zn 0.0302 0.4805 0.0000 [3 per cell]  5 Au 2.57-2.85
4 Zn 0.2721 0.2683 0.5000 [3 per cell]  7 Au 2.58-2.73
5 Zn 0.6667 0.3333 0.0000 [1 per cell]  9 Au 2.64-2.77
6 Au 0.0122 0.2464 0.5000 [3 per cell]  2 Zn 2.58-2.73, 2 Au 2.86
7 Au 0.1728 0.7704 0.0000 [3 per cell]  4 Zn 2.57-2.70
8 Au 0.3720 0.1971 0.0000 [3 per cell]  4 Zn 2.63-2.85, 2 Au 2.86
9 Au 0.5658 0.1363 0.5000 [3 per cell]  5 Zn 2.63-2.77

---

Material: Dy2Ho6ErTm
Method: DFT, PBE
State: optimized geometry

For the formation energy, the calculation gives 0.120 eV/atom.

a = 8.9365 Å, b = 14.8723 Å, c = 9.4765 Å
α = 90.00°, β = 98.01°, γ = 90.00°
Closest atoms and distances in Å follow each position.
Space group C2/c (No. 15)
One atom of each set of equivalent atoms:
1 Dy 0.2489 0.0524 0.0438 [8 per cell]  5 Ho 3.21-3.44, 2 Er 3.34-3.35, 1 Tm 3.49
2 Ho 0.0620 0.1871 0.4438 [8 per cell]  7 Ho 3.35-3.69, 1 Dy 3.44, 1 Er 3.62
3 Ho 0.1035 0.3938 0.6199 [8 per cell]  4 Ho 3.19-3.49, 3 Dy 3.21-3.37, 2 Tm 3.37-3.51
4 Ho 0.2050 0.2237 0.8143 [8 per cell]  2 Ho 3.19-3.52, 1 Dy 3.34, 1 Tm 3.41, 1 Er 3.52
5 Er 0.0000 0.0221 0.7500 [4 per cell]  4 Dy 3.34-3.35, 4 Ho 3.52-3.62
6 Tm 0.0000 0.4085 0.2500 [4 per cell]  6 Ho 3.37-3.51, 2 Dy 3.49

---

Material: NiH4Pd2Pt
Method: DFT, PBE
State: optimized geometry

a = 5.7288 Å, b = 6.0916 Å, c = 8.2971 Å
α = 90.00°, β = 90.00°, γ = 90.00°
Closest atoms and distances in Å follow each position.
Space group Fmm2 (No. 42)
One atom of each set of equivalent atoms:
1 Ni 0.0000 0.0000 0.0000 [4 per cell]  4 H 1.69-1.71
2 H 0.0000 0.2399 0.1017 [8 per cell]  1 Ni 1.69, 1 Pt 1.80, 2 Pd 1.88
3 H 0.2366 0.0000 0.8750 [8 per cell]  1 Ni 1.71, 1 Pt 1.82, 2 Pd 1.85
4 Pd 0.2500 0.2500 0.2480 [8 per cell]  4 H 1.85-1.88
5 Pt 0.0000 0.0000 0.4983 [4 per cell]  4 H 1.80-1.82

---

| no. | energy (eV/cell) | density (g/cm3) |
| --- | --- | --- |
| 1 | -65.11 | 13.1 |
| 2 | -178.03 | 8.8 |
| 3 | -143.50 | 10.8 |